1.
Computed, not measured: crystalline HPd2F6 at its relaxed geometry at the PBE level of DFT.

Cell lengths 4.8691, 6.6985, 9.0163 Å; angles 79.59, 86.09, 85.18 degrees
With the nearest neighbours (Å) after each atom.
Space group P-1 (No. 2)
Symmetry-distinct sites (fractional):
H 0.0025 0.2519 0.0994 x2  1 F 1.04
Pd 0.3452 0.7079 0.3814 x2  4 F 1.99-2.04
Pd 0.5001 0.2899 0.2532 x2  6 F 1.98-2.20
F 0.1806 0.8166 0.9039 x2  1 H 1.04
F 0.2191 0.7779 0.5870 x2  2 Pd 2.02-2.04
F 0.2222 0.3532 0.0982 x2  1 H 1.31
F 0.2473 0.4191 0.4300 x2  2 Pd 2.00-2.20
F 0.3610 0.0013 0.2947 x2  2 Pd 1.99-2.06
F 0.4597 0.3906 0.7959 x2  2 Pd 1.99-2.13

- VASP energy (eV per atom) = -3.995

---

2.
Computed, not measured: crystalline PmSm4Y2Er2 at its relaxed geometry at the PBE level of DFT.

Cell lengths 15.2462, 5.0672, 8.0317 Å; angles 90.00, 108.36, 90.00 degrees
With the nearest neighbours (Å) after each atom.
Space group C2/m (No. 12)
Symmetry-distinct sites (fractional):
Pm 0.0000 0.0000 0.0000 x2  6 Sm 3.58-3.59, 2 Y 3.59, 4 Er 3.60
Sm 0.0550 0.5000 0.3310 x4  2 Pm 3.58, 4 Y 3.59-3.61, 2 Er 3.59-3.60, 4 Sm 3.60-3.61
Sm 0.2225 0.0000 0.3318 x4  3 Er 3.56-3.58, 3 Y 3.58-3.61, 1 Pm 3.59, 5 Sm 3.60-3.61
Y 0.1116 0.0000 0.6677 x4  3 Er 3.57-3.58, 7 Sm 3.58-3.61, 1 Pm 3.59, 1 Y 3.61
Er 0.1679 0.5000 0.0002 x4  2 Er 3.56, 5 Sm 3.56-3.60, 3 Y 3.57-3.58, 2 Pm 3.60

- energy relative to the elements (eV/f.u.) = 0.2
- VASP energy (eV per atom) = -5.057

---

3.
Computed, not measured: crystalline BaW2I at its relaxed geometry at the PBE level of DFT.

Cell lengths 4.8079, 4.8079, 20.1719 Å; angles 90.00, 90.00, 90.00 degrees
With the nearest neighbours (Å) after each atom.
Space group I-42d (No. 122)
Symmetry-distinct sites (fractional):
Ba 0.0000 0.0000 0.0000 x4  4 I 3.40, 4 W 3.44
W 0.0808 0.7500 0.6250 x8  2 W 2.53, 2 I 2.82
I 0.0000 0.0000 0.5000 x4  4 W 2.82

- polymorph energy (0 for the lowest one) (meV per atom) = 0
- formation energy (no corrections) (kJ/mol of formula units) = 526
- VASP energy (eV per atom) = -5.982

---

4.
Computed, not measured: crystalline Ce2P2Rh at its relaxed geometry at the PBE level of DFT.

Cell lengths 10.5508, 4.0890, 10.3050 Å; angles 90.00, 113.11, 90.00 degrees
With the nearest neighbours (Å) after each atom.
Space group C2/m (No. 12)
Symmetry-distinct sites (fractional):
Ce 0.0786 0.0000 0.4020 x4  6 P 2.88-3.18, 2 Rh 3.02, 1 Ce 3.08
Ce 0.1957 0.5000 0.1449 x4  7 P 2.98-3.13, 4 Rh 3.01-3.08
P 0.0452 0.0000 0.9164 x4  1 P 2.27, 2 Rh 2.35
P 0.1641 0.5000 0.6343 x4  1 Rh 2.44
Rh 0.0741 0.5000 0.8194 x4  3 P 2.35-2.44

- energy relative to the elements (eV/f.u.) = -6.1
- VASP energy (eV per atom) = -7.234

---

5.
Computed, not measured: crystalline PaTi2Nb at its relaxed geometry at the PBE level of DFT.

Cell lengths 6.7246, 6.7246, 6.7246 Å; angles 90.00, 90.00, 90.00 degrees
With the nearest neighbours (Å) after each atom.
Space group Fm-3m (No. 225)
Symmetry-distinct sites (fractional):
Pa 0.0000 0.0000 0.0000 x4  8 Ti 2.91
Ti 0.2500 0.2500 0.2500 x8  4 Pa 2.91, 4 Nb 2.91
Nb 0.0000 0.0000 0.5000 x4  8 Ti 2.91

- polymorph energy (0 for the lowest one) (meV per atom) = 83
- energy relative to the elements (eV/f.u.) = 0.3
- VASP energy (eV per atom) = -8.752

---

6.
Computed, not measured: crystalline B2C at its relaxed geometry at the PBE level of DFT.

Cell lengths 11.2877, 2.5839, 5.7465 Å; angles 90.00, 95.69, 90.00 degrees
With the nearest neighbours (Å) after each atom.
Space group C2/m (No. 12)
Symmetry-distinct sites (fractional):
B 0.0336 0.0000 0.1423 x4  1 C 1.61, 1 B 1.73
B 0.1170 0.5000 0.6721 x4  3 C 1.63-1.76, 1 B 1.70
B 0.1676 0.5000 0.1917 x4  1 C 1.59, 1 B 1.76
B 0.2190 0.5000 0.9114 x4  4 B 1.70-1.76
C 0.0309 0.0000 0.6211 x4  1 C 1.49, 3 B 1.61-1.63
C 0.2193 0.5000 0.4596 x4  2 C 1.52, 1 B 1.59

- polymorph energy (0 for the lowest one) (meV per atom) = 326
- energy relative to the elements (eV/f.u.) = 1.5
- VASP energy (eV per atom) = -7.015

---

7.
Computed, not measured: crystalline Ac4TbSm6 at its relaxed geometry at the PBE level of DFT.

Cell lengths 7.1632, 7.1632, 16.6411 Å; angles 90.00, 90.00, 90.00 degrees
With the nearest neighbours (Å) after each atom.
Space group I-42m (No. 121)
Symmetry-distinct sites (fractional):
Ac 0.1951 0.1951 0.3202 x8  1 Tb 3.59, 5 Sm 3.65-3.96, 1 Ac 3.95
Tb 0.0000 0.0000 0.5000 x2  8 Sm 3.58-3.76, 4 Ac 3.59
Sm 0.0000 0.5000 0.0000 x4  4 Sm 3.15
Sm 0.1682 0.1682 0.1012 x8  3 Sm 3.15-3.41

- energy relative to the elements (eV/f.u.) = 2.9
- VASP energy (eV per atom) = -4.229

---

8.
Computed, not measured: crystalline USeO5 at its relaxed geometry at the PBE level of DFT.

Cell lengths 4.2671, 9.5926, 5.7492 Å; angles 90.00, 101.20, 90.00 degrees
With the nearest neighbours (Å) after each atom.
Space group P2_1/m (No. 11)
Symmetry-distinct sites (fractional):
U 0.0000 0.0000 0.0000 x2  2 O 1.80
Se 0.3495 0.2500 0.7045 x2  3 O 1.74-1.75
O 0.0184 0.7500 0.2064 x2  1 Se 1.74
O 0.0712 0.0856 0.2843 x4  1 U 1.80
O 0.4819 0.1071 0.8854 x4  1 Se 1.75

- polymorph energy (0 for the lowest one) (meV per atom) = 23
- formation energy (no corrections) (kJ/mol of formula units) = -1391
- VASP energy (eV per atom) = -7.712

---

9.
Computed, not measured: crystalline TbYAg2 at its relaxed geometry at the PBE level of DFT.

Cell lengths 5.1790, 5.1790, 3.6257 Å; angles 90.00, 90.00, 90.00 degrees
With the nearest neighbours (Å) after each atom.
Space group P4/mmm (No. 123)
Symmetry-distinct sites (fractional):
Tb 0.0000 0.0000 0.0000 x1  8 Ag 3.16
Y 0.5000 0.5000 0.0000 x1  8 Ag 3.16
Ag 0.0000 0.5000 0.5000 x2  4 Y 3.16, 4 Tb 3.16

- energy relative to the elements (eV/f.u.) = -1.3
- VASP energy (eV per atom) = -4.520

---

Q: Which formula does entry 6 have?
A: B2C

---

Q: Among the records above, which one has the highest VASP energy?
A: HPd2F6

---

Q: What is the VASP energy in the sixth record?
A: -7.015 eV per atom